Density functional theory data (PBE with a Hubbard U) for a relaxed structure of VO2.

Cell: 5.5204 5.5204 6.1951 Å, 123.44 123.44 76.04°
Fractional coordinates of all 12 atoms:
V: 0.0000 0.0000 0.0000
V: 0.0000 0.0000 0.5000
V: 0.4557 0.5443 0.7500
V: 0.5443 0.4557 0.2500
O: 0.1899 0.2314 0.9652
O: 0.2314 0.1899 0.4652
O: 0.3004 0.7001 0.5285
O: 0.2999 0.6996 0.9715
O: 0.7001 0.3004 0.0285
O: 0.6996 0.2999 0.4715
O: 0.7686 0.8101 0.5348
O: 0.8101 0.7686 0.0348

The electronic total energy comes out at -7.700 eV/atom. Its calculated volume is 130.9 Å³/cell. For the magnetization, the calculation gives 4.00 μB per cell.